Entry 1:
A plane-wave DFT calculation with GGA-PBE was carried out for a relaxed structure of UCoAsS.

The structure in CIF format:
```
data_UCoAsS
_symmetry_space_group_name_H-M 'P 4/n m m'
_symmetry_Int_Tables_number 129
_cell_length_a 4.087
_cell_length_b 4.087
_cell_length_c 8.199
_cell_angle_alpha 90.00
_cell_angle_beta 90.00
_cell_angle_gamma 90.00
loop_
_symmetry_equiv_pos_as_xyz
'x,y,z'
'-x,-y,-z'
'-y+1/2,x,z'
'y+1/2,-x,-z'
'-x+1/2,-y+1/2,z'
'x+1/2,y+1/2,-z'
'y,-x+1/2,z'
'-y,x+1/2,-z'
'x+1/2,-y,-z'
'-x+1/2,y,z'
'-y,-x,-z'
'y,x,z'
'-x,y+1/2,-z'
'x,-y+1/2,z'
'y+1/2,x+1/2,-z'
'-y+1/2,-x+1/2,z'
loop_
_atom_site_label
_atom_site_type_symbol
_atom_site_fract_x
_atom_site_fract_y
_atom_site_fract_z
_atom_site_occupancy
U1 U 0.250 0.250 0.219 1
Co1 Co 0.250 0.750 0.500 1
As1 As 0.250 0.250 0.653 1
S1 S 0.250 0.750 0.000 1
```

## Properties
* formation energy without anion corrections: -0.767 eV/atom

Entry 2:
A plane-wave DFT calculation with GGA-PBE was carried out for a relaxed structure of Na3Ac3InTe8.

The structure in CIF format:
```
data_Na3Ac3InTe8
_symmetry_space_group_name_H-M 'R -3 m'
_symmetry_Int_Tables_number 166
_symmetry_space_group_name_Hall '-R 3 2"'
_cell_length_a 9.4550
_cell_length_b 9.4550
_cell_length_c 22.3185
_cell_angle_alpha 90.00
_cell_angle_beta 90.00
_cell_angle_gamma 120.00
loop_
_atom_site_label
_atom_site_type_symbol
_atom_site_fract_x
_atom_site_fract_y
_atom_site_fract_z
_atom_site_occupancy
Na1 Na 0.0000 0.5000 0.0000 1
Ac1 Ac 0.0000 0.5000 0.5000 1
In1 In 0.0000 0.0000 0.5000 1
Te1 Te 0.0000 0.0000 0.2507 1
Te2 Te 0.0260 0.5130 0.2459 1
```

## Properties
* formation energy without anion corrections: -1.067 eV/atom